1.
The following is a GGA-PBE calculation of SnGeOs after structural relaxation, from Alexandria.

a b c (Å): 3.3479 4.3823 4.8462
angles (deg): 97.56 110.23 112.41
Fractional positions:
Sn 0.5733 0.4288 0.9201
Ge 0.6159 0.0495 0.3863
Os 0.0240 0.6982 0.5527

Symmetry ... No. 8

---

2.
The following is a GGA-PBE calculation of SnGeOs after structural relaxation, from Alexandria.

a b c (Å): 3.2489 4.4135 4.4135
angles (deg): 120.00 90.00 90.00
Fractional positions:
Ge 0.1668 0.6667 0.3333
Os 0.1665 0.0000 0.0000
Sn 0.6667 0.3333 0.6667

Symmetry ... No. 187

---

3.
The following is a GGA-PBE calculation of Sn3GeOs after structural relaxation, from Alexandria.

a b c (Å): 5.1858 5.1858 5.1858
angles (deg): 90.00 90.00 90.00
Fractional positions:
Ge 0.0000 0.0000 0.0000
Os 0.5000 0.5000 0.5000
Sn 0.0000 0.5000 0.0000
Sn 0.0000 0.0000 0.5000
Sn 0.5000 0.0000 0.0000

Symmetry ... No. 221
Distance to the lowest polymorph of the same formula ... 990 meV/atom

---

4.
The following is a GGA-PBE calculation of SnGeOs after structural relaxation, from Alexandria.

a b c (Å): 6.1524 3.2277 8.6836
angles (deg): 90.00 129.82 90.00
Fractional positions:
Sn 0.2117 0.0000 0.3556
Sn 0.2117 0.5000 0.8556
Ge 0.7443 0.0000 0.8900
Ge 0.7443 0.5000 0.3900
Os 0.7666 0.0000 0.6158
Os 0.7666 0.5000 0.1158

Symmetry ... No. 8

---

5.
The following is a GGA-PBE calculation of SnGeOs after structural relaxation, from Alexandria.

a b c (Å): 3.2224 3.2224 6.2318
angles (deg): 90.00 90.00 120.00
Fractional positions:
Sn 0.3333 0.6667 0.6681
Ge 0.0000 0.0000 0.2736
Os 0.6667 0.3333 0.9996

Symmetry ... No. 156

---

6.
The following is a GGA-PBE calculation of SnGeOs3 after structural relaxation, from Alexandria.

a b c (Å): 4.5427 4.5427 4.5427
angles (deg): 90.00 90.00 90.00
Fractional positions:
Ge 0.0000 0.0000 0.0000
Os 0.0000 0.5000 0.0000
Os 0.0000 0.0000 0.5000
Os 0.5000 0.0000 0.0000
Sn 0.5000 0.5000 0.5000

Symmetry ... No. 221
Distance to the lowest polymorph of the same formula ... 0 meV/atom

---

7.
The following is a GGA-PBE calculation of SnGe2Os after structural relaxation, from Alexandria.

a b c (Å): 5.8168 5.8168 7.3330
angles (deg): 66.63 66.63 90.00
Fractional positions:
Ge 0.6828 0.1250 0.2500
Ge 0.0672 0.6250 0.2500
Ge 0.3750 0.3172 0.7500
Ge 0.8750 0.9328 0.7500
Os 0.0000 0.0000 0.0000
Os 0.7500 0.2500 0.5000
Sn 0.5000 0.5000 0.0000
Sn 0.2500 0.7500 0.5000

Symmetry ... No. 122

---

8.
The following is a GGA-PBE calculation of SnGeOs2 after structural relaxation, from Alexandria.

a b c (Å): 4.4756 4.4756 4.4756
angles (deg): 60.00 60.00 60.00
Fractional positions:
Ge 0.0000 0.0000 0.0000
Os 0.2500 0.2500 0.2500
Os 0.7500 0.7500 0.7500
Sn 0.5000 0.5000 0.5000

Symmetry ... No. 225
Distance to the lowest polymorph of the same formula ... 0 meV/atom

---

no.,final energy (eV per formula unit),energy of formation (eV/atom)
1,-19.2,0.2134
2,-18.5,0.4666
3,-20.5,1.4793
4,-19.4,0.1411
5,-19.0,0.2741
6,-34.7,1.5147
7,-22.5,0.4917
8,-29.6,0.3598